Record 1
Compound: NaTe2As2
Source: Alexandria via LeMat-Bulk
Functional: PBE
Structure: optimized geometry

The formation energy without anion corrections is 0.03 eV per atom.

The space group is I4/mmm (No. 139) and the conventional cell measures 3.8588, 3.8588 and 18.0648 Å, with angles of 90.00, 90.00 and 90.00 degrees. Symmetry generates all atoms from Na at (0.0000, 0.0000, 0.0000), Te at (0.0000, 0.0000, 0.3887) and As at (0.0000, 0.5000, 0.2500).

---

Record 2
Compound: Si2AsBr
Source: Alexandria via LeMat-Bulk
Functional: PBE
Structure: optimized geometry

The formation energy without anion corrections is 0.24 eV per atom.

The space group is C2/m (No. 12) and the conventional cell measures 6.7687, 3.8842 and 7.0304 Å, with angles of 90.00, 108.67 and 90.00 degrees. Symmetry generates all atoms from Si at (0.2351, 0.0000, 0.2029), As at (0.0000, 0.5000, 0.0000) and Br at (0.0000, 0.0000, 0.5000).

---

Record 3
Compound: CrTe2Ir
Source: Alexandria via LeMat-Bulk
Functional: PBE
Structure: optimized geometry

The formation energy without anion corrections is 0.08 eV per atom.

The space group is R3m (No. 160, hexagonal axes) and the conventional cell measures 4.0399, 4.0399 and 19.5403 Å, with angles of 90.00, 90.00 and 120.00 degrees. Symmetry generates all atoms from Cr at (0.0000, 0.0000, 0.0000), Te at (0.0000, 0.0000, 0.5535), Te at (0.0000, 0.0000, 0.7411) and Ir at (0.0000, 0.0000, 0.2922).

---

Record 4
Compound: CaAcCl2
Source: Alexandria via LeMat-Bulk
Functional: PBE
Structure: optimized geometry

The formation energy without anion corrections is -1.52 eV per atom.

The space group is R-3m (No. 166, hexagonal axes) and the conventional cell measures 4.1476, 4.1476 and 27.4796 Å, with angles of 90.00, 90.00 and 120.00 degrees. Symmetry generates all atoms from Ca at (0.0000, 0.0000, 0.0000), Ac at (0.0000, 0.0000, 0.5000) and Cl at (0.0000, 0.0000, 0.3833).

---

Record 5
Compound: CaIn2Pd5
Source: Alexandria via LeMat-Bulk
Functional: PBE
Structure: optimized geometry

Its energy of formation is -0.5108 eV/atom.

The space group is Immm (No. 71) and the conventional cell measures 4.1707, 5.8440 and 12.7877 Å, with angles of 90.00, 90.00 and 90.00 degrees. Symmetry generates all atoms from Ca at (0.0000, 0.0000, 0.0000), In at (0.0000, 0.5000, 0.2149), Pd at (0.0000, 0.2383, 0.3876) and Pd at (0.0000, 0.5000, 0.0000).

---

Record 6
Compound: Dy4Cu2Rh
Source: Alexandria via LeMat-Bulk
Functional: PBE
Structure: optimized geometry

Its energy of formation is -0.3188 eV/atom.

The space group is R-3m (No. 166, hexagonal axes) and the conventional cell measures 4.8760, 4.8760 and 23.7114 Å, with angles of 90.00, 90.00 and 120.00 degrees. Symmetry generates all atoms from Dy at (0.0000, 0.0000, 0.1240), Dy at (0.0000, 0.0000, 0.3749), Cu at (0.0000, 0.0000, 0.2492) and Rh at (0.0000, 0.0000, 0.0000).

---

Repeat the fifth record exactly.
Compound: CaIn2Pd5
Source: Alexandria via LeMat-Bulk
Functional: PBE
Structure: optimized geometry

Its energy of formation is -0.5108 eV/atom.

The space group is Immm (No. 71) and the conventional cell measures 4.1707, 5.8440 and 12.7877 Å, with angles of 90.00, 90.00 and 90.00 degrees. Symmetry generates all atoms from Ca at (0.0000, 0.0000, 0.0000), In at (0.0000, 0.5000, 0.2149), Pd at (0.0000, 0.2383, 0.3876) and Pd at (0.0000, 0.5000, 0.0000).